# 1
PBEsol Rb6Na4Tl13, relaxed; N(E_F) = 0.778 states/eV/atom; calculated total energy = -2.137 eV/atom; calculated volume = 33.72 A^3/atom; space group = Im-3
1.0
-5.788 5.788 5.788
5.788 -5.788 5.788
5.788 5.788 -5.788
Rb Na Tl
6 4 13
direct
0.171 0.500 0.671
0.329 0.829 0.500
0.500 0.329 0.829
0.500 0.671 0.171
0.671 0.171 0.500
0.829 0.500 0.329
0.000 0.000 0.500
0.000 0.500 0.000
0.500 0.000 0.000
0.500 0.500 0.500
0.000 0.000 0.000
0.097 0.239 0.859
0.141 0.380 0.239
0.141 0.903 0.761
0.239 0.141 0.380
0.239 0.859 0.097
0.380 0.239 0.141
0.620 0.761 0.859
0.761 0.141 0.903
0.761 0.859 0.620
0.859 0.097 0.239
0.859 0.620 0.761
0.903 0.761 0.141

# 2
PBEsol Li2AlIr, relaxed; N(E_F) = 0.352 states/eV/atom; calculated total energy = -4.859 eV/atom; calculated volume = 13.45 A^3/atom; space group = Pmmm
1.0
2.937 0.000 0.000
0.000 4.094 0.000
0.000 0.000 4.476
Li Al Ir
2 1 1
direct
0.000 0.000 0.000
0.500 0.500 0.000
0.000 0.500 0.500
0.500 0.000 0.500

# 3
PBEsol Li2Zn2Mo, relaxed; N(E_F) = 0.890 states/eV/atom; calculated total energy = -3.322 eV/atom; calculated volume = 13.13 A^3/atom; space group = I4/mmm
1.0
-2.023 2.023 4.011
2.023 -2.023 4.011
2.023 2.023 -4.011
Li Zn Mo
2 2 1
direct
0.117 0.117 0.000
0.883 0.883 0.000
0.250 0.750 0.500
0.750 0.250 0.500
0.500 0.500 0.000

# 4
PBEsol MnCdRhI2, relaxed; raw formation energy = 1.42 eV per atom; N(E_F) = 1.658 states/eV/atom; calculated volume = 32.32 A^3/atom; space group = P4/mmm
1.0
5.659 0.000 0.000
0.000 5.659 0.000
0.000 0.000 5.045
Mn Cd Rh I
1 1 1 2
direct
0.000 0.000 0.000
0.000 0.000 0.500
0.500 0.500 0.000
0.000 0.500 0.500
0.500 0.000 0.500

# 5
PBEsol BaCaAg4, relaxed; N(E_F) = 0.760 states/eV/atom; calculated total energy = -3.098 eV/atom; calculated volume = 22.96 A^3/atom; space group = F-43m
1.0
0.000 4.099 4.099
4.099 0.000 4.099
4.099 4.099 0.000
Ba Ca Ag
1 1 4
direct
0.000 0.000 0.000
0.750 0.750 0.750
0.377 0.377 0.377
0.377 0.377 0.870
0.377 0.870 0.377
0.870 0.377 0.377

# 6
PBEsol LiLa2Tl, relaxed; N(E_F) = 0.774 states/eV/atom; calculated total energy = -4.032 eV/atom; calculated volume = 28.08 A^3/atom; space group = Amm2
1.0
4.916 0.000 0.000
0.000 1.791 6.378
0.000 -1.791 6.378
Li La Tl
1 2 1
direct
0.000 0.000 0.000
0.000 0.272 0.272
0.500 0.613 0.613
0.500 0.884 0.884